# Mg2PtC2

A relaxed structure of Mg2PtC2 (GGA-PBEsol, the Alexandria database).

Uncorrected energy, eV/cell: -26.60

Lattice parameters (Å, degrees): 3.8182 3.8182 5.0025 112.43 112.43 90.00
With the nearest neighbours (Å) after each atom.
Fractional coordinates of all 5 atoms:
Mg (0.2500, 0.7500, 0.5000)  4 C 2.38
Mg (0.7500, 0.2500, 0.5000)  4 C 2.38
Pt (0.0000, 0.0000, 0.0000)  8 C 2.78, 8 Mg 2.84
C (0.5806, 0.5806, 0.1611)  1 C 1.36
C (0.4194, 0.4194, 0.8389)  1 C 1.36